No. 1
This record from Alexandria via LeMat-Bulk describes a geometry-optimized Tm2CuIr structure. The functional is PBE. Values from VASP.

Cell and atoms, written as Quantum ESPRESSO input:
```
&SYSTEM
  ibrav = 0, nat = 4, ntyp = 3
/
ATOMIC_SPECIES
Ir 192.22 Ir.upf
Tm 168.93 Tm.upf
Cu 63.55 Cu.upf
ATOMIC_POSITIONS angstrom
Ir 1.726 2.384 2.384
Tm 0.000 0.000 2.384
Tm 0.000 2.384 0.000
Cu 1.726 0.000 0.000
CELL_PARAMETERS angstrom
3.451 0.000 0.000
0.000 4.769 0.000
0.000 0.000 4.769
```

Values from the calculation:
**Symmetry**: No. 123

***

No. 2
This record from Alexandria via LeMat-Bulk describes a geometry-optimized Tm4CuIr structure. The functional is PBE. Values from VASP.

Cell and atoms, written as Quantum ESPRESSO input:
```
&SYSTEM
  ibrav = 0, nat = 12, ntyp = 3
/
ATOMIC_SPECIES
Tm 168.93 Tm.upf
Cu 63.55 Cu.upf
Ir 192.22 Ir.upf
ATOMIC_POSITIONS angstrom
Tm 3.213 1.666 1.945
Tm 2.389 4.999 3.888
Tm 3.152 1.666 5.803
Tm 2.450 4.999 0.030
Tm -0.028 0.001 1.878
Tm 5.630 3.334 3.956
Tm -0.028 3.332 1.878
Tm 5.630 6.665 3.956
Cu 1.171 1.666 3.849
Cu 4.431 4.999 1.985
Ir 1.280 1.666 0.011
Ir 4.322 4.999 5.822
CELL_PARAMETERS angstrom
5.819 0.000 -1.749
0.000 6.666 0.000
-0.217 0.000 7.583
```

Values from the calculation:
**Symmetry**: No. 11
**Relative energy among the computed polymorphs**: 0.000 eV per atom

***

No. 3
This record from Alexandria via LeMat-Bulk describes a geometry-optimized Tm5Cu2Ir structure. The functional is PBE. Values from VASP.

Cell and atoms, written as Quantum ESPRESSO input:
```
&SYSTEM
  ibrav = 0, nat = 16, ntyp = 3
/
ATOMIC_SPECIES
Tm 168.93 Tm.upf
Cu 63.55 Cu.upf
Ir 192.22 Ir.upf
ATOMIC_POSITIONS angstrom
Tm 2.638 4.467 2.733
Tm 3.947 6.108 -2.598
Tm 0.000 0.000 0.000
Tm 2.431 3.049 -2.953
Tm 1.336 0.518 5.686
Tm 4.258 1.418 3.774
Tm -0.284 3.567 4.645
Tm 1.024 5.209 -0.686
Tm 5.566 3.059 -1.557
Tm 2.644 2.159 0.355
Cu 0.239 2.303 -1.476
Cu 3.723 0.746 -2.199
Cu 1.139 5.352 -3.707
Cu 4.623 3.795 -4.429
Ir 3.857 4.838 0.067
Ir 1.426 1.789 3.020
CELL_PARAMETERS angstrom
6.256 0.000 -2.953
-1.394 6.098 -2.953
0.421 0.528 8.994
```

Values from the calculation:
**Symmetry**: No. 140

***

No. 4
This record from Alexandria via LeMat-Bulk describes a geometry-optimized Tm4Cu2Ir structure. The functional is PBE. Values from VASP.

Cell and atoms, written as Quantum ESPRESSO input:
```
&SYSTEM
  ibrav = 0, nat = 7, ntyp = 3
/
ATOMIC_SPECIES
Tm 168.93 Tm.upf
Cu 63.55 Cu.upf
Ir 192.22 Ir.upf
ATOMIC_POSITIONS angstrom
Tm -2.172 -7.838 3.413
Tm 1.422 -3.248 4.370
Tm -1.969 -5.071 1.490
Tm 1.220 -6.015 6.293
Cu -0.567 -8.313 5.830
Cu -0.182 -2.773 1.953
Ir 0.000 0.000 0.000
CELL_PARAMETERS angstrom
-3.575 -2.633 1.856
-0.173 -4.739 -0.817
2.998 -3.715 6.744
```

Values from the calculation:
**Symmetry**: No. 166
**Relative energy among the computed polymorphs**: 0.029 eV per atom

***

No. 5
This record from Alexandria via LeMat-Bulk describes a geometry-optimized Tm4CuIr structure. The functional is PBE. Values from VASP.

Cell and atoms, written as Quantum ESPRESSO input:
```
&SYSTEM
  ibrav = 0, nat = 12, ntyp = 3
/
ATOMIC_SPECIES
Tm 168.93 Tm.upf
Cu 63.55 Cu.upf
Ir 192.22 Ir.upf
ATOMIC_POSITIONS angstrom
Tm -4.346 -5.441 2.148
Tm 1.146 -6.306 3.909
Tm -0.796 -3.843 0.908
Tm -0.430 -7.156 -1.726
Tm 2.135 -5.930 0.473
Tm -3.357 -5.066 -1.288
Tm -1.416 -7.529 1.712
Tm -1.782 -4.215 4.347
Cu 0.690 -3.573 3.251
Cu 0.526 -4.555 -1.431
Ir 0.000 0.000 0.000
Ir -3.427 -3.244 0.800
CELL_PARAMETERS angstrom
-3.263 -2.263 5.482
-3.592 -4.226 -3.882
4.643 -4.884 1.020
```

Values from the calculation:
**Symmetry**: No. 14
**Relative energy among the computed polymorphs**: 0.053 eV per atom

***

No. 6
This record from Alexandria via LeMat-Bulk describes a geometry-optimized Tm4CuIr3 structure. The functional is PBE. Values from VASP.

Cell and atoms, written as Quantum ESPRESSO input:
```
&SYSTEM
  ibrav = 0, nat = 8, ntyp = 3
/
ATOMIC_SPECIES
Tm 168.93 Tm.upf
Cu 63.55 Cu.upf
Ir 192.22 Ir.upf
ATOMIC_POSITIONS angstrom
Tm -2.296 -0.690 4.549
Tm -0.170 -3.540 1.340
Tm -0.775 -0.233 1.537
Tm -1.691 -3.997 4.352
Cu -1.173 -1.877 -0.877
Ir 1.778 -1.430 0.680
Ir -2.693 -2.334 2.136
Ir 0.227 -1.895 3.753
CELL_PARAMETERS angstrom
-2.347 -3.754 -1.754
3.557 -2.859 1.360
-3.676 2.383 6.282
```

Values from the calculation:
**Symmetry**: No. 139

***

No. 7
This record from Alexandria via LeMat-Bulk describes a geometry-optimized Tm3CuIr2 structure. The functional is PBE. Values from VASP.

Cell and atoms, written as Quantum ESPRESSO input:
```
&SYSTEM
  ibrav = 0, nat = 12, ntyp = 3
/
ATOMIC_SPECIES
Tm 168.93 Tm.upf
Cu 63.55 Cu.upf
Ir 192.22 Ir.upf
ATOMIC_POSITIONS angstrom
Tm 0.000 2.770 4.900
Tm 2.399 1.385 0.958
Tm 0.000 0.000 8.851
Tm 0.000 0.000 2.912
Tm 0.000 2.770 10.805
Tm 2.399 1.385 6.863
Cu 0.000 2.770 7.864
Cu 2.399 1.385 3.899
Ir 0.000 0.000 5.881
Ir 0.000 2.770 1.998
Ir 2.399 1.385 9.765
Ir 0.000 0.000 0.000
CELL_PARAMETERS angstrom
4.797 0.000 0.000
-2.399 4.155 0.000
0.000 0.000 11.763
```

Values from the calculation:
**Symmetry**: No. 164

***

No. 8
This record from Alexandria via LeMat-Bulk describes a geometry-optimized Tm7Cu2Ir2 structure. The functional is PBE. Values from VASP.

Cell and atoms, written as Quantum ESPRESSO input:
```
&SYSTEM
  ibrav = 0, nat = 11, ntyp = 3
/
ATOMIC_SPECIES
Tm 168.93 Tm.upf
Cu 63.55 Cu.upf
Ir 192.22 Ir.upf
ATOMIC_POSITIONS angstrom
Tm 5.986 1.786 2.577
Tm 2.201 5.113 6.136
Tm -0.528 5.115 3.232
Tm 3.258 1.789 -0.327
Tm 0.000 0.000 0.000
Tm 2.731 5.147 2.904
Tm 2.727 1.754 2.905
Cu 4.361 3.449 4.641
Cu 1.097 3.452 1.168
Ir 4.370 6.904 1.366
Ir 1.088 -0.002 4.444
CELL_PARAMETERS angstrom
6.518 -0.003 -0.658
0.003 6.907 0.003
-1.063 -0.002 6.464
```

Values from the calculation:
**Symmetry**: No. 65

***

No. 9
This record from Alexandria via LeMat-Bulk describes a geometry-optimized YTmCuIr structure. The functional is PBE. Values from VASP.

Cell and atoms, written as Quantum ESPRESSO input:
```
&SYSTEM
  ibrav = 0, nat = 4, ntyp = 4
/
ATOMIC_SPECIES
Y 88.91 Y.upf
Ir 192.22 Ir.upf
Tm 168.93 Tm.upf
Cu 63.55 Cu.upf
ATOMIC_POSITIONS angstrom
Y 7.272 4.198 2.969
Ir 4.848 2.799 1.979
Tm 2.424 1.399 0.990
Cu 0.000 0.000 0.000
CELL_PARAMETERS angstrom
4.848 0.000 0.000
2.424 4.198 0.000
2.424 1.399 3.958
```

Values from the calculation:
**Symmetry**: No. 216

***

No. 10
This record from Alexandria via LeMat-Bulk describes a geometry-optimized TmZnCuIr structure. The functional is PBE. Values from VASP.

Cell and atoms, written as Quantum ESPRESSO input:
```
&SYSTEM
  ibrav = 0, nat = 4, ntyp = 4
/
ATOMIC_SPECIES
Zn 65.41 Zn.upf
Ir 192.22 Ir.upf
Tm 168.93 Tm.upf
Cu 63.55 Cu.upf
ATOMIC_POSITIONS angstrom
Zn 4.557 2.631 1.861
Ir 6.836 3.947 2.791
Tm 0.000 0.000 0.000
Cu 2.279 1.316 0.930
CELL_PARAMETERS angstrom
4.557 0.000 0.000
2.279 3.947 0.000
2.279 1.316 3.721
```

Values from the calculation:
**Symmetry**: No. 216

***

No. 11
This record from Alexandria via LeMat-Bulk describes a geometry-optimized TmZrCuIr structure. The functional is PBE. Values from VASP.

Cell and atoms, written as Quantum ESPRESSO input:
```
&SYSTEM
  ibrav = 0, nat = 4, ntyp = 4
/
ATOMIC_SPECIES
Ir 192.22 Ir.upf
Tm 168.93 Tm.upf
Cu 63.55 Cu.upf
Zr 91.22 Zr.upf
ATOMIC_POSITIONS angstrom
Ir -5.651 6.349 -1.846
Tm 0.000 0.000 0.000
Cu -1.884 2.116 -0.615
Zr -3.768 4.233 -1.231
CELL_PARAMETERS angstrom
-0.676 4.686 -0.030
-2.587 1.997 -3.426
-4.272 1.782 0.993
```

Values from the calculation:
**Symmetry**: No. 216

***

No. 12
This record from Alexandria via LeMat-Bulk describes a geometry-optimized UCu4Ir structure. The functional is PBE. Values from VASP.

Cell and atoms, written as Quantum ESPRESSO input:
```
&SYSTEM
  ibrav = 0, nat = 6, ntyp = 3
/
ATOMIC_SPECIES
Ir 192.22 Ir.upf
U 238.03 U.upf
Cu 63.55 Cu.upf
ATOMIC_POSITIONS angstrom
Ir 0.000 0.000 0.000
U 2.471 1.427 1.009
Cu 4.942 2.853 0.497
Cu 4.942 1.420 2.524
Cu 6.183 3.570 2.524
Cu 3.700 3.570 2.524
CELL_PARAMETERS angstrom
4.942 0.000 0.000
2.471 4.280 0.000
2.471 1.427 4.035
```

Values from the calculation:
**Symmetry**: No. 216

***

No. 13
This record from Alexandria via LeMat-Bulk describes a geometry-optimized UCuIr structure. The functional is PBE. Values from VASP.

Cell and atoms, written as Quantum ESPRESSO input:
```
&SYSTEM
  ibrav = 0, nat = 6, ntyp = 3
/
ATOMIC_SPECIES
U 238.03 U.upf
Cu 63.55 Cu.upf
Ir 192.22 Ir.upf
ATOMIC_POSITIONS angstrom
U -4.620 -1.085 6.297
U -2.317 -0.114 4.900
Cu -3.877 -2.535 3.580
Cu -0.862 -2.146 2.954
Ir -4.524 1.475 5.299
Ir -2.278 0.066 2.157
CELL_PARAMETERS angstrom
-4.605 -1.941 2.794
-0.135 -2.740 3.740
-2.198 3.482 4.663
```

Values from the calculation:
**Symmetry**: No. 69

***

No. 14
This record from Alexandria via LeMat-Bulk describes a geometry-optimized UZnCuIr structure. The functional is PBE. Values from VASP.

Cell and atoms, written as Quantum ESPRESSO input:
```
&SYSTEM
  ibrav = 0, nat = 4, ntyp = 4
/
ATOMIC_SPECIES
Zn 65.41 Zn.upf
Ir 192.22 Ir.upf
U 238.03 U.upf
Cu 63.55 Cu.upf
ATOMIC_POSITIONS angstrom
Zn 2.302 1.329 0.940
Ir 0.000 0.000 0.000
U 6.907 3.988 2.820
Cu 4.605 2.658 1.880
CELL_PARAMETERS angstrom
4.605 0.000 0.000
2.302 3.988 0.000
2.302 1.329 3.760
```

Values from the calculation:
**Symmetry**: No. 216

***

No. 15
This record from Alexandria via LeMat-Bulk describes a geometry-optimized VCuIr2 structure. The functional is PBE. Values from VASP.

Cell and atoms, written as Quantum ESPRESSO input:
```
&SYSTEM
  ibrav = 0, nat = 4, ntyp = 3
/
ATOMIC_SPECIES
Ir 192.22 Ir.upf
Cu 63.55 Cu.upf
V 50.94 V.upf
ATOMIC_POSITIONS angstrom
Ir 2.124 1.227 0.867
Ir 6.373 3.680 2.602
Cu 4.249 2.453 1.735
V 0.000 0.000 0.000
CELL_PARAMETERS angstrom
4.249 0.000 0.000
2.124 3.680 0.000
2.124 1.227 3.469
```

Values from the calculation:
**Symmetry**: No. 225
**Relative energy among the computed polymorphs**: 0.000 eV per atom

***

No. 16
This record from Alexandria via LeMat-Bulk describes a geometry-optimized VCuIr2 structure. The functional is PBE. Values from VASP.

Cell and atoms, written as Quantum ESPRESSO input:
```
&SYSTEM
  ibrav = 0, nat = 4, ntyp = 3
/
ATOMIC_SPECIES
Ir 192.22 Ir.upf
Cu 63.55 Cu.upf
V 50.94 V.upf
ATOMIC_POSITIONS angstrom
Ir 1.711 0.923 0.190
Ir 0.160 -0.673 1.827
Cu 1.024 1.695 2.624
V -0.847 1.445 0.607
CELL_PARAMETERS angstrom
-1.694 2.890 1.213
0.321 -1.346 3.654
3.422 1.847 0.380
```

Values from the calculation:
**Symmetry**: No. 123
**Relative energy among the computed polymorphs**: 0.031 eV per atom

***

No. 17
This record from Alexandria via LeMat-Bulk describes a geometry-optimized VCuIr2 structure. The functional is PBE. Values from VASP.

Cell and atoms, written as Quantum ESPRESSO input:
```
&SYSTEM
  ibrav = 0, nat = 8, ntyp = 3
/
ATOMIC_SPECIES
Ir 192.22 Ir.upf
Cu 63.55 Cu.upf
V 50.94 V.upf
ATOMIC_POSITIONS angstrom
Ir -1.218 -5.038 0.432
Ir 2.358 -3.988 2.947
Ir 0.427 -6.794 3.461
Ir 1.071 -11.152 4.365
Cu 0.000 0.000 0.000
Cu -1.223 -7.470 1.495
V 0.961 -4.566 1.156
V 2.542 -6.016 4.107
CELL_PARAMETERS angstrom
-2.804 -6.019 -1.456
4.725 -3.113 3.768
-0.602 -4.354 3.290
```

Values from the calculation:
**Symmetry**: No. 122
**Relative energy among the computed polymorphs**: 0.460 eV per atom

***

No. 18
This record from Alexandria via LeMat-Bulk describes a geometry-optimized V2CuIr4 structure. The functional is PBE. Values from VASP.

Cell and atoms, written as Quantum ESPRESSO input:
```
&SYSTEM
  ibrav = 0, nat = 7, ntyp = 3
/
ATOMIC_SPECIES
V 50.94 V.upf
Cu 63.55 Cu.upf
Ir 192.22 Ir.upf
ATOMIC_POSITIONS angstrom
V 2.318 1.673 0.541
V 1.740 1.855 6.948
Cu 0.000 0.000 0.000
Ir 0.572 0.609 2.283
Ir 3.486 2.918 5.206
Ir 3.000 1.010 3.267
Ir 1.058 2.518 4.222
CELL_PARAMETERS angstrom
4.106 0.000 -1.029
-0.164 2.608 -0.655
0.117 0.920 9.173
```

Values from the calculation:
**Symmetry**: No. 71

***

No. 19
This record from Alexandria via LeMat-Bulk describes a geometry-optimized VCuIr3 structure. The functional is PBE. Values from VASP.

Cell and atoms, written as Quantum ESPRESSO input:
```
&SYSTEM
  ibrav = 0, nat = 5, ntyp = 3
/
ATOMIC_SPECIES
Ir 192.22 Ir.upf
Cu 63.55 Cu.upf
V 50.94 V.upf
ATOMIC_POSITIONS angstrom
Ir 0.000 2.217 0.000
Ir 0.000 0.000 2.217
Ir 2.217 0.000 0.000
Cu 0.000 0.000 0.000
V 2.217 2.217 2.217
CELL_PARAMETERS angstrom
4.435 0.000 0.000
0.000 4.435 0.000
0.000 0.000 4.435
```

Values from the calculation:
**Symmetry**: No. 221
**Relative energy among the computed polymorphs**: 0.161 eV per atom

***

No. 20
This record from Alexandria via LeMat-Bulk describes a geometry-optimized VCuIr3 structure. The functional is PBE. Values from VASP.

Cell and atoms, written as Quantum ESPRESSO input:
```
&SYSTEM
  ibrav = 0, nat = 5, ntyp = 3
/
ATOMIC_SPECIES
Ir 192.22 Ir.upf
Cu 63.55 Cu.upf
V 50.94 V.upf
ATOMIC_POSITIONS angstrom
Ir 0.000 2.251 0.000
Ir 0.000 0.000 2.251
Ir 2.251 0.000 0.000
Cu 2.251 2.251 2.251
V 0.000 0.000 0.000
CELL_PARAMETERS angstrom
4.502 0.000 0.000
0.000 4.502 0.000
0.000 0.000 4.502
```

Values from the calculation:
**Symmetry**: No. 221
**Relative energy among the computed polymorphs**: 0.000 eV per atom

***

| no. | E_form (kJ per mole of atoms) |
| --- | --- |
| 1 | -61.3 |
| 2 | -40.4 |
| 3 | -42.1 |
| 4 | -38.2 |
| 5 | -35.3 |
| 6 | -76.3 |
| 7 | -73.2 |
| 8 | -31.4 |
| 9 | -59.1 |
| 10 | -36.6 |
| 11 | -54.3 |
| 12 | -5.4 |
| 13 | 7.5 |
| 14 | -8.0 |
| 15 | -23.2 |
| 16 | -20.2 |
| 17 | 21.2 |
| 18 | -5.7 |
| 19 | 140.4 |
| 20 | 124.9 |